Computed, not measured: crystalline PaTaMo4 at its relaxed geometry at the PBE level of DFT.

abc: 5.404 5.404 5.404
angles: 60.00 60.00 60.00
Atoms (fractional coordinates):
Mo: 0.625 0.125 0.625
Mo: 0.625 0.625 0.125
Ta: 0.250 0.250 0.250
Mo: 0.125 0.625 0.625
Pa: 0.000 0.000 0.000
Mo: 0.625 0.625 0.625

Results
Crystal system   cubic
Energy   -63.516 eV/cell
DOS(E_F)   9.62 states/eV/cell
Formation energy   193 meV per atom